No. 1
A relaxed structure of HfPt6Au, computed with PBE.

Values from the calculation:
For the total energy, the calculation gives -6.73 eV/atom. The value obtained for the density of states at the Fermi level is 7.683 states/eV/f.u. The formation energy is -0.549 eV per atom. As for the space-group type: No. 65.

Cell lengths 6.970, 6.970, 11.401 Å; angles 90.00, 90.00, 109.45 degrees
Element x y z (fractional)
Hf 0.000 0.000 0.247
Hf 0.000 0.000 0.753
Hf 0.247 0.753 0.500
Hf 0.753 0.247 0.500
Pt 0.000 0.000 0.000
Pt 0.000 0.000 0.500
Pt 0.122 0.371 0.127
Pt 0.122 0.371 0.873
Pt 0.123 0.375 0.377
Pt 0.123 0.375 0.623
Pt 0.247 0.753 0.254
Pt 0.247 0.753 0.746
Pt 0.371 0.122 0.127
Pt 0.371 0.122 0.873
Pt 0.375 0.123 0.377
Pt 0.375 0.123 0.623
Pt 0.500 0.500 0.000
Pt 0.500 0.500 0.500
Pt 0.625 0.877 0.377
Pt 0.625 0.877 0.623
Pt 0.629 0.878 0.127
Pt 0.629 0.878 0.873
Pt 0.753 0.247 0.254
Pt 0.753 0.247 0.746
Pt 0.877 0.625 0.377
Pt 0.877 0.625 0.623
Pt 0.878 0.629 0.127
Pt 0.878 0.629 0.873
Au 0.252 0.748 0.000
Au 0.500 0.500 0.246
Au 0.500 0.500 0.754
Au 0.748 0.252 0.000


No. 2
A relaxed structure of Hf3Pt4Au2, computed with PBE.

Values from the calculation:
For the total energy, the calculation gives -7.63 eV/atom. The value obtained for the density of states at the Fermi level is 4.236 states/eV/f.u. The formation energy is -0.901 eV per atom. As for the space-group type: No. 15.

Cell lengths 8.244, 8.244, 4.990 Å; angles 98.03, 98.03, 73.21 degrees
Element x y z (fractional)
Hf 0.138 0.862 0.750
Hf 0.214 0.454 0.915
Hf 0.454 0.214 0.415
Hf 0.546 0.786 0.585
Hf 0.786 0.546 0.085
Hf 0.862 0.138 0.250
Pt 0.091 0.352 0.350
Pt 0.321 0.567 0.471
Pt 0.352 0.091 0.850
Pt 0.433 0.679 0.029
Pt 0.567 0.321 0.971
Pt 0.648 0.909 0.150
Pt 0.679 0.433 0.529
Pt 0.909 0.648 0.650
Au 0.011 0.768 0.199
Au 0.232 0.989 0.301
Au 0.768 0.011 0.699
Au 0.989 0.232 0.801


Question: The lowest total energy belongs to which entry?
Answer: Hf3Pt4Au2